Here is a relaxed CaZnOs2 crystal from the Alexandria database. Energies are from GGA-PBE.

Cell: 2.7645 2.7645 9.1283 Å, 90.00 90.00 112.07°
Last column: nearest neighbours and their distance in Å.
Positions (direct):
Zn: 0.5000 0.5000 0.2500  4 Os 2.61, 4 Zn 2.76
Os: 0.0000 0.0000 0.0196  2 Zn 2.61, 4 Os 2.76, 2 Ca 2.91
Os: 0.0000 0.0000 0.4804  2 Zn 2.61, 4 Os 2.76, 2 Ca 2.91
Ca: 0.5000 0.5000 0.7500  6 Ca 2.76-3.09, 4 Os 2.91

For the magnetic moment, the calculation gives 0.00 μB per cell. As for the uncorrected energy: -5.852 eV per atom. Its symmetry is No. 65. For the formation energy, the calculation gives 2.33 eV per formula unit.